[1]
First-principles (GGA-PBE) data for a relaxed Cs3Te4 crystal, as listed in Alexandria via LeMat-Bulk.

Results
ΔE_f (raw)   -650 meV/atom
Total magnetic moment   0.6 μB per cell
Space-group type   Immm

a b c (Å): 12.105 12.105 12.105
angles (deg): 154.39 153.20 37.41
Atoms (fractional coordinates):
Cs: 0.000 0.000 0.000
Cs: 0.181 0.681 0.500
Cs: 0.819 0.319 0.500
Te: 0.355 0.855 0.500
Te: 0.439 0.439 0.000
Te: 0.561 0.561 0.000
Te: 0.645 0.145 0.500



[2]
First-principles (GGA-PBE) data for a relaxed Cs3Te crystal, as listed in Alexandria via LeMat-Bulk.

Results
ΔE_f (raw)   -619 meV/atom
ΔE to the lowest computed polymorph   69.4 meV per atom
Total magnetic moment   0.0 μB per cell
Space-group type   P-4m2

a b c (Å): 5.435 5.435 10.281
angles (deg): 90.00 90.00 90.00
Atoms (fractional coordinates):
Cs: 0.000 0.000 0.000
Cs: 0.000 0.500 0.711
Cs: 0.500 0.000 0.289
Te: 0.500 0.500 0.000



[3]
First-principles (GGA-PBE) data for a relaxed Cs5Te crystal, as listed in Alexandria via LeMat-Bulk.

Results
ΔE_f (raw)   -437 meV/atom
Total magnetic moment   0.0 μB per cell
Space-group type   Cmmm

a b c (Å): 18.608 18.608 6.083
angles (deg): 90.00 90.00 164.50
Atoms (fractional coordinates):
Cs: 0.000 0.000 0.000
Cs: 0.078 0.922 0.500
Cs: 0.314 0.686 0.000
Cs: 0.686 0.314 0.000
Cs: 0.922 0.078 0.500
Te: 0.500 0.500 0.500



[4]
First-principles (GGA-PBE) data for a relaxed Cs3Te crystal, as listed in Alexandria via LeMat-Bulk.

Results
ΔE_f (raw)   -688 meV/atom
ΔE to the lowest computed polymorph   0.0 meV per atom
Total magnetic moment   0.0 μB per cell
Space-group type   Immm

a b c (Å): 10.814 10.814 10.814
angles (deg): 153.76 146.35 43.17
Atoms (fractional coordinates):
Cs: 0.000 0.000 0.000
Cs: 0.356 0.856 0.500
Cs: 0.644 0.144 0.500
Te: 0.500 0.500 0.000